# ScTaRe2Au

An optimized crystal structure of ScTaRe2Au (PBE-GGA, Alexandria).

Lattice parameters (Å, degrees): 4.575 4.679 4.575 90.00 90.00 90.00
Element x y z (fractional)
Sc 0.000 0.000 0.000
Re 0.000 0.000 0.500
Re 0.500 0.000 0.000
Au 0.500 0.500 0.500
Ta 0.000 0.500 0.000

Values from the calculation:
**DFT formation energy**: 2.131 eV per atom
**Calculated total energy**: -35.703 eV for the cell shown
**Spin magnetization**: 0.0000 μB/atom